# Ta2SeBr PBE relaxed
# electronic total energy = -6.822 eV per atom
# M_tot = 0.000 μB/f.u.
# formation energy without anion corrections = 1.6 eV per formula unit
# excess energy over the best structure of this formula in the dataset = 799 meV/atom
# mass density = 11.0 g cm⁻³
data_Ta2SeBr
_chemical_formula_sum 'Ta2 Se1 Br1'
_symmetry_space_group_name_H-M 'P 1'
_symmetry_Int_Tables_number 1
_cell_length_a 3.2832
_cell_length_b 3.2832
_cell_length_c 8.8543
_cell_angle_alpha 90.00
_cell_angle_beta 90.00
_cell_angle_gamma 124.44
loop_
_symmetry_equiv_pos_as_xyz
'x,y,z'
loop_
_atom_site_label
_atom_site_type_symbol
_atom_site_fract_x
_atom_site_fract_y
_atom_site_fract_z
Ta1 Ta 0.0000 0.0000 0.2361
Ta2 Ta 0.0000 0.0000 0.7639
Se1 Se 0.5000 0.5000 0.0000
Br1 Br 0.5000 0.5000 0.5000